1.
## Tb2Er8Pb (PBE-GGA)

Data for a geometry-optimized Tb2Er8Pb structure.

Structure (extended XYZ):
```
11
Lattice="5.510 0.000 0.000 0.000 6.248 1.323 -2.755 -1.140 9.582" Properties=species:S:1:pos:R:3 pbc="T T T"
Tb 2.755 1.513 5.348
Tb 0.000 3.595 5.557
Er 0.000 4.442 1.829
Er 0.000 0.876 3.204
Er 0.000 2.772 8.862
Er 2.755 4.232 7.702
Er 2.755 0.666 9.076
Er 0.000 0.009 6.621
Er 2.755 2.336 2.043
Er 2.755 5.099 4.284
Pb 2.755 0.000 0.000
```

Results
density of states at the Fermi level: 15.23 states/eV/f.u.
energy relative to the elements: -0.0540 eV/atom

=====

2.
## Tb4ErPb5 (PBE-GGA)

Data for a geometry-optimized Tb4ErPb5 structure.

Structure (extended XYZ):
```
10
Lattice="6.302 0.000 0.000 3.151 7.047 0.000 3.151 0.000 7.047" Properties=species:S:1:pos:R:3 pbc="T T T"
Pb 9.455 2.807 5.652
Pb 3.154 4.240 1.394
Pb 6.305 5.652 4.240
Pb 6.305 1.394 2.807
Pb 3.172 0.000 0.000
Tb 9.456 5.626 4.233
Tb 6.305 2.814 5.626
Tb 6.305 4.233 1.421
Tb 3.154 1.421 2.814
Er 0.020 0.000 0.000
```

Results
density of states at the Fermi level: 8.46 states/eV/f.u.
energy relative to the elements: -0.3363 eV/atom

=====

3.
## TbEr2Pb3 (PBE-GGA)

Data for a geometry-optimized TbEr2Pb3 structure.

Structure (extended XYZ):
```
12
Lattice="6.254 0.079 -1.271 -0.521 5.971 -2.195 0.212 -0.080 9.014" Properties=species:S:1:pos:R:3 pbc="T T T"
Pb 0.449 1.721 2.274
Pb 4.364 3.794 -2.326
Pb 2.240 5.691 3.366
Pb 5.496 4.249 3.275
Pb 1.368 2.257 -1.140
Pb 3.705 0.279 2.183
Er 3.425 3.257 1.074
Er 0.169 4.703 1.163
Er 2.519 2.713 4.475
Er 5.776 1.268 4.385
Tb 4.625 0.813 -1.230
Tb 1.108 5.237 -2.235
```

Results
density of states at the Fermi level: 2.49 states/eV/f.u.
energy relative to the elements: -0.4822 eV/atom

=====

4.
## Tb2ErPb (PBE-GGA)

Data for a geometry-optimized Tb2ErPb structure.

Structure (extended XYZ):
```
4
Lattice="3.530 0.000 0.000 1.765 3.057 0.000 1.765 1.019 12.021" Properties=species:S:1:pos:R:3 pbc="T T T"
Tb 1.765 1.019 8.833
Tb 5.295 3.057 3.188
Pb 0.000 0.000 0.000
Er 3.530 2.038 6.010
```

Results
density of states at the Fermi level: 3.89 states/eV/f.u.
energy relative to the elements: 0.0406 eV/atom

=====

5.
## Tb3Er2Pb4 (PBE-GGA)

Data for a geometry-optimized Tb3Er2Pb4 structure.

Structure (extended XYZ):
```
9
Lattice="4.793 0.000 -1.340 -0.494 6.566 -1.767 -0.202 0.022 8.520" Properties=species:S:1:pos:R:3 pbc="T T T"
Tb 3.883 2.728 4.648
Tb 0.214 3.860 0.765
Tb 0.000 0.000 0.000
Er 0.990 6.136 3.540
Er 3.107 0.452 1.873
Pb 3.168 4.586 2.092
Pb 1.799 4.729 6.435
Pb 0.928 2.002 3.321
Pb 2.298 1.859 -1.021
```

Results
density of states at the Fermi level: 5.04 states/eV/f.u.
energy relative to the elements: -0.4278 eV/atom

=====

6.
## Tb2ErPb3 (PBE-GGA)

Data for a geometry-optimized Tb2ErPb3 structure.

Structure (extended XYZ):
```
12
Lattice="6.375 0.000 0.000 0.000 7.167 2.490 0.000 -1.341 7.468" Properties=species:S:1:pos:R:3 pbc="T T T"
Tb 0.515 3.687 2.776
Tb 3.702 5.213 5.384
Tb 3.702 2.140 7.182
Tb 0.515 0.614 4.574
Pb 3.674 0.667 4.501
Pb 3.674 3.597 2.787
Pb 0.487 2.230 7.171
Pb 2.063 4.952 8.464
Pb 0.487 5.159 5.457
Pb 5.250 0.874 1.494
Er 5.227 5.051 8.633
Er 2.040 0.775 1.325
```

Results
density of states at the Fermi level: 5.46 states/eV/f.u.
energy relative to the elements: -0.2787 eV/atom

=====

7.
## TbEr2Pb2 (PBE-GGA)

Data for a geometry-optimized TbEr2Pb2 structure.

Structure (extended XYZ):
```
5
Lattice="-3.972 2.263 -0.105 -2.144 -3.812 -1.333 1.773 -0.996 7.568" Properties=species:S:1:pos:R:3 pbc="T T T"
Pb -0.981 -1.401 5.472
Pb -3.361 -1.144 0.657
Er -2.627 0.243 3.371
Er -1.715 -2.789 2.758
Tb 0.000 0.000 0.000
```

Results
density of states at the Fermi level: 5.34 states/eV/f.u.
energy relative to the elements: -0.2017 eV/atom

=====

8.
## Tb2ErPb (PBE-GGA)

Data for a geometry-optimized Tb2ErPb structure.

Structure (extended XYZ):
```
4
Lattice="5.227 0.000 0.000 2.613 4.526 0.000 2.613 1.509 5.676" Properties=species:S:1:pos:R:3 pbc="T T T"
Pb 7.840 4.526 5.352
Er 5.227 3.018 3.022
Tb 2.613 1.509 1.053
Tb 2.613 1.509 4.763
```

Results
density of states at the Fermi level: 5.34 states/eV/f.u.
energy relative to the elements: 0.0538 eV/atom

=====

Number 1: V 338.17 Å³ per cell. Number 2: V 312.92 Å³ per cell. Number 3: V 337.42 Å³ per cell. Number 4: V 129.74 Å³ per cell. Number 5: V 266.55 Å³ per cell. Number 6: V 362.48 Å³ per cell. Number 7: V 150.28 Å³ per cell. Number 8: V 134.29 Å³ per cell.